# 1
A plane-wave DFT calculation with GGA-PBE was carried out for a geometry-optimized LaMg3Hg9 structure.

Structure (CIF):
```
data_LaMg3Hg9
_chemical_formula_sum 'La2 Mg6 Hg18'
_symmetry_space_group_name_H-M 'C 1 2/m 1'
_symmetry_Int_Tables_number 12
_cell_length_a 6.1991
_cell_length_b 14.2794
_cell_length_c 7.6270
_cell_angle_alpha 90.00
_cell_angle_beta 113.98
_cell_angle_gamma 90.00
loop_
_symmetry_equiv_pos_as_xyz
'x,y,z'
'-x,-y,-z'
'-x,y,-z'
'x,-y,z'
'x+1/2,y+1/2,z'
'-x+1/2,-y+1/2,-z'
'-x+1/2,y+1/2,-z'
'x+1/2,-y+1/2,z'
loop_
_atom_site_label
_atom_site_type_symbol
_atom_site_fract_x
_atom_site_fract_y
_atom_site_fract_z
La1 La 0.0000 0.0000 0.0000
Mg1 Mg 0.0000 0.5000 0.5000
Mg2 Mg 0.2500 0.2500 0.0000
Hg1 Hg 0.0000 0.0000 0.5000
Hg2 Hg 0.0860 0.3915 0.2138
Hg3 Hg 0.1653 0.1735 0.3341
```

Values from the calculation:
DFT formation energy = -2.7 eV/f.u.
Calculated density = 10.86 g/cm³

# 2
A plane-wave DFT calculation with GGA-PBE was carried out for a geometry-optimized LaMg2Hg2 structure.

Structure (CIF):
```
data_LaMg2Hg2
_chemical_formula_sum 'La2 Mg4 Hg4'
_symmetry_space_group_name_H-M 'P 4/m b m'
_symmetry_Int_Tables_number 127
_symmetry_space_group_name_Hall '-P 4 2ab'
_cell_length_a 8.6961
_cell_length_b 8.6961
_cell_length_c 3.1715
_cell_angle_alpha 90.00
_cell_angle_beta 90.00
_cell_angle_gamma 90.00
loop_
_atom_site_label
_atom_site_type_symbol
_atom_site_fract_x
_atom_site_fract_y
_atom_site_fract_z
La1 La 0.0000 0.0000 0.0000
Mg1 Mg 0.1240 0.3760 0.0000
Hg1 Hg 0.1723 0.6723 0.5000
```

Values from the calculation:
DFT formation energy = -1.3 eV/f.u.
Polymorph energy (0 for the lowest one) = 101 meV per atom
Calculated density = 8.15 g/cm³

# 3
A plane-wave DFT calculation with GGA-PBE was carried out for a geometry-optimized LaMgHg2 structure.

Structure (CIF):
```
data_LaMgHg2
_chemical_formula_sum 'La1 Mg1 Hg2'
_symmetry_space_group_name_H-M 'P 1 m 1'
_symmetry_Int_Tables_number 6
_cell_length_a 3.8870
_cell_length_b 5.2365
_cell_length_c 5.2355
_cell_angle_alpha 90.00
_cell_angle_beta 90.01
_cell_angle_gamma 90.00
loop_
_symmetry_equiv_pos_as_xyz
'x,y,z'
'x,-y,z'
loop_
_atom_site_label
_atom_site_type_symbol
_atom_site_fract_x
_atom_site_fract_y
_atom_site_fract_z
La1 La 0.0000 0.0000 0.0000
Mg1 Mg 0.9986 0.5000 0.4991
Hg1 Hg 0.5000 0.0000 0.5000
Hg2 Hg 0.4997 0.5000 0.9980
```

Values from the calculation:
DFT formation energy = -1.5 eV/f.u.
Calculated density = 8.79 g/cm³

# 4
A plane-wave DFT calculation with GGA-PBE was carried out for a geometry-optimized LaMg2Hg5 structure.

Structure (CIF):
```
data_LaMg2Hg5
_chemical_formula_sum 'La2 Mg4 Hg10'
_symmetry_space_group_name_H-M 'I m m m'
_symmetry_Int_Tables_number 71
_symmetry_space_group_name_Hall '-I 2 2'
_cell_length_a 4.0808
_cell_length_b 7.8674
_cell_length_c 12.5513
_cell_angle_alpha 90.00
_cell_angle_beta 90.00
_cell_angle_gamma 90.00
loop_
_atom_site_label
_atom_site_type_symbol
_atom_site_fract_x
_atom_site_fract_y
_atom_site_fract_z
La1 La 0.0000 0.0000 0.0000
Mg1 Mg 0.0000 0.5000 0.2350
Hg1 Hg 0.0000 0.2219 0.3722
Hg2 Hg 0.0000 0.5000 0.0000
```

Values from the calculation:
DFT formation energy = -1.9 eV/f.u.
Calculated density = 9.81 g/cm³

# 5
A plane-wave DFT calculation with GGA-PBE was carried out for a geometry-optimized La4Mg3Hg structure.

Structure (CIF):
```
data_La4Mg3Hg
_chemical_formula_sum 'La4 Mg3 Hg1'
_symmetry_space_group_name_H-M 'P 4/m m m'
_symmetry_Int_Tables_number 123
_symmetry_space_group_name_Hall '-P 4 2'
_cell_length_a 3.9608
_cell_length_b 3.9608
_cell_length_c 15.7182
_cell_angle_alpha 90.00
_cell_angle_beta 90.00
_cell_angle_gamma 90.00
loop_
_atom_site_label
_atom_site_type_symbol
_atom_site_fract_x
_atom_site_fract_y
_atom_site_fract_z
La1 La 0.0000 0.0000 0.1223
La2 La 0.0000 0.0000 0.3728
Mg1 Mg 0.5000 0.5000 0.2507
Mg2 Mg 0.5000 0.5000 0.5000
Hg1 Hg 0.5000 0.5000 0.0000
```

Values from the calculation:
DFT formation energy = -1.7 eV/f.u.
Calculated density = 5.58 g/cm³

# 6
A plane-wave DFT calculation with GGA-PBE was carried out for a geometry-optimized LaMg2Hg2 structure.

Structure (CIF):
```
data_LaMg2Hg2
_chemical_formula_sum 'La2 Mg4 Hg4'
_symmetry_space_group_name_H-M 'I 4/m m m'
_symmetry_Int_Tables_number 139
_symmetry_space_group_name_Hall '-I 4 2'
_cell_length_a 4.4698
_cell_length_b 4.4698
_cell_length_c 12.8989
_cell_angle_alpha 90.00
_cell_angle_beta 90.00
_cell_angle_gamma 90.00
loop_
_atom_site_label
_atom_site_type_symbol
_atom_site_fract_x
_atom_site_fract_y
_atom_site_fract_z
La1 La 0.0000 0.0000 0.0000
Mg1 Mg 0.0000 0.5000 0.2500
Hg1 Hg 0.0000 0.0000 0.3879
```

Values from the calculation:
DFT formation energy = -1.8 eV/f.u.
Polymorph energy (0 for the lowest one) = 0 meV per atom
Calculated density = 7.59 g/cm³